Entry 1:
PmScAlAg: relaxed, PBE.

Cell: 5.082 5.082 5.082 Å, 60.00 60.00 60.00°
Positions (direct):
Pm 0.000 0.000 0.000
Sc 0.500 0.500 0.500
Al 0.250 0.250 0.250
Ag 0.750 0.750 0.750

Results
The calculation puts the energy relative to the elements at -0.30 eV per atom. As for the crystal system: cubic. The symmetry is No. 216.

=====

Entry 2:
ReSbAs2: relaxed, PBE.

Cell: 3.266 4.476 6.306 Å, 90.00 90.22 90.00°
Positions (direct):
Re 0.000 0.000 0.000
Sb 0.003 0.500 0.250
As 0.498 0.000 0.705
As 0.998 0.500 0.795

Results
Its uncorrected formation energy is 0.42 eV per atom. As for the crystal system: monoclinic. The symmetry is No. 6.

=====

Entry 3:
TiZnSe3: relaxed, PBE.

Cell: 4.846 4.846 4.846 Å, 90.00 90.00 90.00°
Positions (direct):
Ti 0.000 0.000 0.000
Zn 0.500 0.500 0.500
Se 0.000 0.500 0.500
Se 0.500 0.000 0.500
Se 0.500 0.500 0.000

Results
Its uncorrected formation energy is 0.36 eV per atom. The calculation puts the polymorph energy (0 for the lowest one) at 0.596 eV per atom. As for the crystal system: cubic. The symmetry is No. 221.

=====

Number 1: magnetic moment 0.000 μB/atom. Number 2: magnetic moment 0.000 μB/atom. Number 3: magnetic moment 0.002 μB/atom.